First-principles (GGA-PBE) data for an optimized crystal structure of Er4TlSe3, as listed in the Alexandria database.

Computed properties:
Size of the total moment: 0.00 μB per formula unit
Density of states at the Fermi level: 0.3949 states/eV/atom
Theoretical density: 9.24 g/cm³
Final energy: -5.217 eV per atom
Space group: No. 65

Unit cell a=4.0437 b=7.2175 c=7.2175 alpha=108.69 beta=90.00 gamma=90.00
Fractional positions:
Er (0.5000, 0.2513, 0.7487)
Er (0.0000, 0.2588, 0.2588)
Se (0.5000, 0.5000, 0.5000)
Tl (0.5000, 0.0000, 0.0000)
Se (0.0000, 0.0000, 0.5000)
Er (0.5000, 0.7487, 0.2513)
Se (0.0000, 0.5000, 0.0000)
Er (0.0000, 0.7412, 0.7412)